No. 1
Computed, not measured: RbLa2CuTe4 after structural relaxation at the PBE-GGA level of DFT.

The space group is Cmcm (No. 63) and the conventional cell measures 4.5577, 15.7853 and 15.8027 Å, with angles of 90.00, 90.00 and 90.00 degrees. The inequivalent atoms are Rb at (0.0000, 0.1077, 0.2500), La at (0.0000, 0.3646, 0.0626), Cu at (0.0000, 0.1609, 0.7500), Te at (0.0000, 0.0000, 0.0000), Te at (0.0000, 0.2655, 0.6170) and Te at (0.0000, 0.4305, 0.2500).

The calculation puts the total energy at -148.828 eV/cell. The calculation puts the total magnetization at 0.00 μB/atom.

No. 2
Computed, not measured: LiScFeSb after structural relaxation at the PBE-GGA level of DFT.

The space group is F-43m (No. 216) and the conventional cell measures 6.5668, 6.5668 and 6.5668 Å, with angles of 90.00, 90.00 and 90.00 degrees. The inequivalent atoms are Li at (0.0000, 0.0000, 0.0000), Sc at (0.0000, 0.0000, 0.5000), Fe at (0.2500, 0.2500, 0.7500) and Sb at (0.2500, 0.2500, 0.2500).

The excess energy over the best structure of this formula in the dataset comes out at 0.192 eV per atom. The calculation puts the total magnetization at 0.51 μB/atom.

No. 3
Computed, not measured: DyHo2Al3FeCu2 after structural relaxation at the PBE-GGA level of DFT.

The space group is Amm2 (No. 38) and the conventional cell measures 3.8038, 12.3765 and 7.1504 Å, with angles of 90.00, 90.00 and 90.00 degrees. The inequivalent atoms are Dy at (0.0000, 0.0000, 0.0000), Ho at (0.0000, 0.2074, 0.6228), Al at (0.5000, 0.0000, 0.6536), Al at (0.5000, 0.1194, 0.2964), Fe at (0.0000, 0.0000, 0.4160) and Cu at (0.5000, 0.1672, 0.9152).

The calculation puts the total energy at -88.367 eV/cell. The calculation puts the total magnetization at 0.22 μB/atom.

No. 4
Computed, not measured: ErAl3C after structural relaxation at the PBE-GGA level of DFT.

The space group is Pm-3m (No. 221) and the conventional cell measures 4.3505, 4.3505 and 4.3505 Å, with angles of 90.00, 90.00 and 90.00 degrees. The inequivalent atoms are Er at (0.0000, 0.0000, 0.0000), Al at (0.0000, 0.5000, 0.5000) and C at (0.5000, 0.5000, 0.5000).

The calculation puts the total energy at -23.413 eV/cell. The calculation puts the total magnetization at 0.00 μB/atom.

No. 5
Computed, not measured: SmBiNO after structural relaxation at the PBE-GGA level of DFT.

The space group is P4/nmm (No. 129, origin choice 2) and the conventional cell measures 4.6050, 4.6050 and 7.8079 Å, with angles of 90.00, 90.00 and 90.00 degrees. The inequivalent atoms are Sm at (0.2500, 0.2500, 0.0958), Bi at (0.2500, 0.7500, 0.5000), N at (0.2500, 0.2500, 0.3840) and O at (0.2500, 0.7500, 0.0000).

The excess energy over the best structure of this formula in the dataset comes out at 0.145 eV per atom. The calculation puts the total magnetization at 0.00 μB/atom.

No. 6
Computed, not measured: TaNbB4 after structural relaxation at the PBE-GGA level of DFT.

The space group is P6/mmm (No. 191) and the conventional cell measures 3.1075, 3.1075 and 6.6663 Å, with angles of 90.00, 90.00 and 120.00 degrees. The inequivalent atoms are Ta at (0.0000, 0.0000, 0.0000), Nb at (0.0000, 0.0000, 0.5000) and B at (0.3333, 0.6667, 0.2476).

The calculation puts the total energy at -52.714 eV/cell. The calculation puts the total magnetization at 0.00 μB/atom.

Repeat the third record exactly.
Computed, not measured: DyHo2Al3FeCu2 after structural relaxation at the PBE-GGA level of DFT.

The space group is Amm2 (No. 38) and the conventional cell measures 3.8038, 12.3765 and 7.1504 Å, with angles of 90.00, 90.00 and 90.00 degrees. The inequivalent atoms are Dy at (0.0000, 0.0000, 0.0000), Ho at (0.0000, 0.2074, 0.6228), Al at (0.5000, 0.0000, 0.6536), Al at (0.5000, 0.1194, 0.2964), Fe at (0.0000, 0.0000, 0.4160) and Cu at (0.5000, 0.1672, 0.9152).

The calculation puts the total energy at -88.367 eV/cell. The calculation puts the total magnetization at 0.22 μB/atom.